Model w:
A relaxed structure of TbNpSe3. Source: the Alexandria database, functional PBE.

Computed properties:
D(E_F) in states/eV/cell: 29.62
Crystal system: orthorhombic

abc: 7.6960 4.1000 15.7974
angles: 90.00 90.00 90.00
With the nearest neighbours (Å) after each atom.
Element x y z (fractional)
1 Tb 0.2356 0.2500 0.0422  7 Se 2.89-3.02
2 Tb 0.2644 0.7500 0.5422  7 Se 2.89-3.02
3 Tb 0.7356 0.2500 0.4578  7 Se 2.89-3.02
4 Tb 0.7644 0.7500 0.9578  7 Se 2.89-3.02
5 Np 0.1371 0.7500 0.2922  7 Se 2.87-3.08
6 Np 0.3629 0.2500 0.7922  7 Se 2.87-3.08
7 Np 0.6371 0.7500 0.2078  7 Se 2.87-3.08
8 Np 0.8629 0.2500 0.7078  7 Se 2.87-3.08
9 Se 0.0070 0.7500 0.1080  3 Tb 2.89-3.02, 1 Np 3.08
10 Se 0.1229 0.2500 0.4322  3 Tb 2.90-3.01, 2 Np 3.02, 1 Se 3.18
11 Se 0.1472 0.7500 0.7205  4 Np 2.87-3.01, 1 Tb 2.96, 1 Se 3.18
12 Se 0.3528 0.2500 0.2205  4 Np 2.87-3.01, 1 Tb 2.96, 1 Se 3.18
13 Se 0.3771 0.7500 0.9322  3 Tb 2.90-3.01, 2 Np 3.02, 1 Se 3.18
14 Se 0.4930 0.2500 0.6080  3 Tb 2.89-3.02, 1 Np 3.08
15 Se 0.5070 0.7500 0.3920  3 Tb 2.89-3.02, 1 Np 3.08
16 Se 0.6229 0.2500 0.0678  3 Tb 2.90-3.01, 2 Np 3.02, 1 Se 3.18
17 Se 0.6472 0.7500 0.7795  4 Np 2.87-3.01, 1 Tb 2.96, 1 Se 3.18
18 Se 0.8528 0.2500 0.2795  4 Np 2.87-3.01, 1 Tb 2.96, 1 Se 3.18
19 Se 0.8771 0.7500 0.5678  3 Tb 2.90-3.01, 2 Np 3.02, 1 Se 3.18
20 Se 0.9930 0.2500 0.8920  3 Tb 2.89-3.02, 1 Np 3.08


Model x:
A relaxed structure of TbNpSe3. Source: the Alexandria database, functional PBE.

Computed properties:
D(E_F) in states/eV/cell: 23.48
Crystal system: hexagonal

abc: 4.1582 4.1582 20.2522
angles: 90.00 90.00 120.00
With the nearest neighbours (Å) after each atom.
Element x y z (fractional)
1 Tb 0.3333 0.6667 0.0000  6 Se 2.77-3.04
2 Tb 0.6667 0.3333 0.5000  6 Se 2.77-3.04
3 Np 0.0000 0.0000 0.1807  6 Se 2.80-2.99
4 Np 0.0000 0.0000 0.6807  6 Se 2.80-2.99
5 Se 0.0000 0.0000 0.4313  3 Tb 2.77
6 Se 0.0000 0.0000 0.9313  3 Tb 2.77
7 Se 0.3333 0.6667 0.2521  3 Np 2.80
8 Se 0.3333 0.6667 0.5924  3 Np 2.99, 3 Tb 3.04
9 Se 0.6667 0.3333 0.0924  3 Np 2.99, 3 Tb 3.04
10 Se 0.6667 0.3333 0.7521  3 Np 2.80


Which structure is the most stable? The one labeled model w.